Here is an optimized crystal structure of Tb6Sm2Dy3 from the Alexandria database. Energies are from PBE.

## Properties
**DFT formation energy**: 0.02 eV/atom
**Symmetry**: R-3m, No. 166
**Excess energy over the best structure of this formula in the dataset**: 0 meV/atom

Structure (POSCAR):
```
Tb6Sm2Dy3
1.0
3.560 0.000 0.218
1.773 3.087 0.218
-0.179 -0.103 32.040
Tb Sm Dy
6 2 3
direct
0.910 0.910 0.271
0.090 0.090 0.729
0.818 0.818 0.545
0.182 0.182 0.455
0.637 0.637 0.090
0.363 0.363 0.910
0.546 0.546 0.363
0.454 0.454 0.637
0.000 0.000 0.000
0.727 0.727 0.819
0.273 0.273 0.181
```

---

Here is an optimized crystal structure of Tb7SmTm12 from the Alexandria database. Energies are from PBE.

## Properties
**DFT formation energy**: 0.31 eV/atom
**Symmetry**: R-3, No. 148
**Excess energy over the best structure of this formula in the dataset**: 0 meV/atom

Structure (POSCAR):
```
Tb7SmTm12
1.0
8.501 0.734 1.101
-1.659 8.369 1.101
-1.659 -2.207 8.148
Tb Sm Tm
7 1 12
direct
0.916 0.647 0.981
0.353 0.019 0.084
0.019 0.084 0.353
0.500 0.500 0.500
0.981 0.916 0.647
0.647 0.981 0.916
0.084 0.353 0.019
0.000 0.000 0.000
0.812 0.252 0.683
0.748 0.317 0.188
0.481 0.147 0.416
0.853 0.584 0.519
0.317 0.188 0.748
0.584 0.519 0.853
0.416 0.481 0.147
0.683 0.812 0.252
0.147 0.416 0.481
0.519 0.853 0.584
0.252 0.683 0.812
0.188 0.748 0.317
```

---

Here is an optimized crystal structure of CeZr2Pa from the Alexandria database. Energies are from PBE.

## Properties
**DFT formation energy**: 0.11 eV/atom
**Symmetry**: Cm, No. 8
**Excess energy over the best structure of this formula in the dataset**: 57 meV/atom

Structure (POSCAR):
```
CeZr2Pa
1.0
3.274 0.072 0.083
1.699 2.800 0.083
1.953 1.127 10.932
Ce Zr Pa
1 2 1
direct
0.464 0.464 0.496
0.072 0.072 0.755
0.317 0.317 0.245
0.647 0.647 0.004
```

---

Here is an optimized crystal structure of Tl10Te3Cl3 from the Alexandria database. Energies are from PBE.

## Properties
**Raw formation energy**: -0.491 eV/atom
**Symmetry**: P-62m, No. 189

Structure (POSCAR):
```
Tl10Te3Cl3
1.0
6.978 0.000 0.000
0.000 8.334 -4.812
0.000 0.000 9.624
Tl Te Cl
10 3 3
direct
0.248 0.667 0.333
0.248 0.333 0.667
0.752 0.333 0.667
0.752 0.667 0.333
0.500 0.000 0.759
0.500 0.759 0.000
0.500 0.241 0.241
0.000 0.000 0.343
0.000 0.343 0.000
0.000 0.657 0.657
0.500 0.000 0.422
0.500 0.422 0.000
0.500 0.578 0.578
0.000 0.000 0.718
0.000 0.718 0.000
0.000 0.282 0.282
```

---

Here is an optimized crystal structure of Hf6AlOs5 from the Alexandria database. Energies are from PBE.

## Properties
**DFT formation energy**: -0.61 eV/atom
**Symmetry**: Immm, No. 71

Structure (POSCAR):
```
Hf6AlOs5
1.0
4.440 0.019 -1.296
-0.897 5.742 -2.990
-0.080 0.426 7.985
Os Hf Al
5 6 1
direct
0.664 0.164 0.327
0.332 0.332 0.665
0.000 0.500 0.000
0.668 0.668 0.335
0.336 0.836 0.673
0.831 0.578 0.662
0.831 0.084 0.662
0.500 0.744 0.000
0.500 0.256 0.000
0.169 0.916 0.338
0.169 0.422 0.338
0.000 0.000 0.000
```

---

Here is an optimized crystal structure of LiHfC from the Alexandria database. Energies are from PBE.

## Properties
**DFT formation energy**: -0.23 eV/atom
**Symmetry**: P4/mmm, No. 123
**Excess energy over the best structure of this formula in the dataset**: 227 meV/atom

Structure (POSCAR):
```
LiHfC
1.0
-1.382 2.822 -0.628
-2.724 -1.504 -0.764
-1.288 0.272 4.055
Li Hf C
1 1 1
direct
0.000 0.000 0.500
0.500 0.500 0.000
0.000 0.000 0.000
```

---

Here is an optimized crystal structure of NiBIr from the Alexandria database. Energies are from PBE.

## Properties
**DFT formation energy**: 0.56 eV/atom
**Symmetry**: I4mm, No. 107

Structure (POSCAR):
```
NiBIr
1.0
2.626 0.000 0.000
0.000 2.626 0.000
-1.313 -1.313 5.652
Ni B Ir
1 1 1
direct
0.785 0.785 0.569
0.947 0.947 0.894
0.118 0.118 0.236
```

---

Here is an optimized crystal structure of HfPaCu4 from the Alexandria database. Energies are from PBE.

## Properties
**DFT formation energy**: 0.10 eV/atom
**Symmetry**: I-4m2, No. 119
**Excess energy over the best structure of this formula in the dataset**: 133 meV/atom

Structure (POSCAR):
```
HfPaCu4
1.0
-3.520 -0.631 0.848
-0.096 -2.746 -2.441
4.008 -3.245 6.258
Hf Pa Cu
1 1 4
direct
0.000 0.000 0.000
0.250 0.750 0.500
0.670 0.170 0.340
0.576 0.576 0.152
0.830 0.330 0.660
0.424 0.424 0.848
```

---

Here is an optimized crystal structure of CuAg3Te3 from the Alexandria database. Energies are from PBE.

## Properties
**Raw formation energy**: -0.018 eV/atom
**Symmetry**: Cmce, No. 64
**Excess energy over the best structure of this formula in the dataset**: 0 meV/atom

Structure (POSCAR):
```
CuAg3Te3
1.0
-4.864 3.198 -2.403
-1.406 -9.225 -1.179
-5.520 -0.502 10.506
Cu Ag Te
4 12 12
direct
0.417 0.834 0.500
0.083 0.166 0.000
0.583 0.166 0.500
0.917 0.834 0.000
0.710 0.000 0.874
0.790 0.000 0.374
0.210 0.000 0.626
0.290 0.000 0.126
0.042 0.664 0.377
0.458 0.336 0.877
0.879 0.336 0.123
0.621 0.664 0.623
0.958 0.336 0.623
0.542 0.664 0.123
0.121 0.664 0.877
0.379 0.336 0.377
0.257 0.000 0.867
0.243 0.000 0.367
0.757 0.000 0.633
0.743 0.000 0.133
0.579 0.663 0.370
0.921 0.337 0.870
0.416 0.337 0.130
0.084 0.663 0.630
0.421 0.337 0.630
0.079 0.663 0.130
0.584 0.663 0.870
0.916 0.337 0.370
```

---

Here is an optimized crystal structure of Pr2PaI from the Alexandria database. Energies are from PBE.

## Properties
**Raw formation energy**: 0.086 eV/atom
**Symmetry**: R-3m, No. 166

Structure (POSCAR):
```
Pr2PaI
1.0
3.517 0.000 0.000
1.758 3.046 0.000
1.758 1.015 11.862
Pr I Pa
2 1 1
direct
0.093 0.093 0.721
0.907 0.907 0.279
0.500 0.500 0.500
0.000 0.000 0.000
```

---

| no. | theoretical density (Mg/m³) |
| --- | --- |
| 1 | 8.21 |
| 2 | 8.70 |
| 3 | 9.35 |
| 4 | 7.51 |
| 5 | 16.26 |
| 6 | 7.49 |
| 7 | 11.15 |
| 8 | 10.62 |
| 9 | 7.71 |
| 10 | 8.36 |